#one
This record from Alexandria via LeMat-Bulk describes a relaxed TbTm2Ag crystal. The functional is PBE.

```
TbTm2Ag
1.0
3.524 0.000 0.000
0.000 3.524 0.000
0.000 0.000 8.796
Tb Tm Ag
1 2 1
Direct
0.000 0.000 0.000
0.500 0.500 0.287
0.500 0.500 0.713
0.000 0.000 0.500
```

Space-group type   No. 123
Magnetization   0.000 μB/cell
Volume   27.3 A^3/atom

#two
This record from Alexandria via LeMat-Bulk describes a relaxed TbTm2Ag crystal. The functional is PBE.

```
TbTm2Ag
1.0
2.417 -5.686 0.000
2.417 5.686 0.000
0.000 0.000 8.212
Tb Tm Ag
2 4 2
Direct
0.052 0.948 0.750
0.948 0.052 0.250
0.356 0.644 0.545
0.356 0.644 0.955
0.644 0.356 0.045
0.644 0.356 0.455
0.220 0.780 0.250
0.780 0.220 0.750
```

Space-group type   No. 63
Magnetization   0.005 μB/cell
Volume   28.2 A^3/atom

Quick one: most stable of them? #one

#one
This record from Alexandria via LeMat-Bulk describes a relaxed TbTm2Ag crystal. The functional is PBE.

```
TbTm2Ag
1.0
4.731 0.000 0.000
0.000 4.731 0.000
0.000 0.000 4.768
Tb Tm Ag
1 2 1
Direct
0.000 0.000 0.000
0.000 0.500 0.500
0.500 0.000 0.500
0.500 0.500 0.000
```

Space-group type   No. 123
Magnetization   0.001 μB/cell
Volume   26.7 A^3/atom

#two
This record from Alexandria via LeMat-Bulk describes a relaxed TbTm2Ag crystal. The functional is PBE.

```
TbTm2Ag
1.0
1.759 1.016 10.374
-1.759 1.016 10.374
0.000 -2.031 10.374
Tb Tm Ag
1 2 1
Direct
0.000 0.000 0.000
0.241 0.241 0.241
0.759 0.759 0.759
0.500 0.500 0.500
```

Space-group type   No. 166
Magnetization   0.000 μB/cell
Volume   27.8 A^3/atom

#three
This record from Alexandria via LeMat-Bulk describes a relaxed TbTm2Ag crystal. The functional is PBE.

```
TbTm2Ag
1.0
1.783 1.029 10.217
-1.783 1.029 10.217
0.000 -2.059 10.217
Tb Tm Ag
1 2 1
Direct
0.000 0.000 0.000
0.574 0.574 0.574
0.759 0.759 0.759
0.166 0.166 0.166
```

Space-group type   No. 160
Magnetization   0.011 μB/cell
Volume   28.1 A^3/atom

Quick one: most stable of them? #two

#one
This record from Alexandria via LeMat-Bulk describes a relaxed TbTmAg crystal. The functional is PBE.

```
TbTmAg
1.0
2.502 1.444 8.150
-2.502 1.444 8.150
0.000 -2.889 8.150
Tb Tm Ag
2 2 2
Direct
0.124 0.124 0.124
0.876 0.876 0.876
0.374 0.374 0.374
0.626 0.626 0.626
0.251 0.251 0.251
0.749 0.749 0.749
```

Space-group type   No. 166
Magnetization   0.000 μB/cell
Volume   29.4 A^3/atom

#two
This record from Alexandria via LeMat-Bulk describes a relaxed TbTmAg crystal. The functional is PBE.

```
TbTmAg
1.0
7.012 0.000 0.000
0.000 5.027 0.000
0.000 0.000 9.031
Tb Tm Ag
4 4 4
Direct
0.017 0.250 0.185
0.483 0.750 0.685
0.517 0.250 0.315
0.983 0.750 0.815
0.152 0.250 0.577
0.348 0.750 0.077
0.652 0.250 0.923
0.848 0.750 0.423
0.241 0.250 0.898
0.259 0.750 0.398
0.741 0.250 0.602
0.759 0.750 0.102
```

Space-group type   No. 62
Magnetization   0.000 μB/cell
Volume   26.5 A^3/atom

#three
This record from Alexandria via LeMat-Bulk describes a relaxed TbTmAg crystal. The functional is PBE.

```
TbTmAg
1.0
6.448 -1.869 0.000
6.448 1.869 0.000
-4.985 0.000 6.724
Tb Tm Ag
2 2 2
Direct
0.102 0.102 0.376
0.898 0.898 0.624
0.350 0.350 0.942
0.650 0.650 0.058
0.370 0.370 0.316
0.630 0.630 0.684
```

Space-group type   No. 12
Magnetization   0.000 μB/cell
Volume   27.0 A^3/atom

#four
This record from Alexandria via LeMat-Bulk describes a relaxed TbTmAg crystal. The functional is PBE.

```
TbTmAg
1.0
5.028 0.000 0.000
-2.514 4.355 0.000
0.000 0.000 3.633
Tb Tm Ag
1 1 1
Direct
0.000 0.000 0.000
0.333 0.667 0.538
0.667 0.333 0.300
```

Space-group type   No. 156
Magnetization   0.000 μB/cell
Volume   26.5 A^3/atom

Quick one: most stable of them? #two

#one
This record from Alexandria via LeMat-Bulk describes a relaxed Tb4TmAg crystal. The functional is PBE.

```
Tb4TmAg
1.0
3.549 0.000 0.000
0.000 3.549 0.000
0.000 0.000 13.919
Tb Tm Ag
4 1 1
Direct
0.000 0.000 0.139
0.000 0.000 0.861
0.500 0.500 0.323
0.500 0.500 0.677
0.000 0.000 0.500
0.500 0.500 0.000
```

Space-group type   No. 123
Magnetization   0.000 μB/cell
Volume   29.2 A^3/atom

#two
This record from Alexandria via LeMat-Bulk describes a relaxed Tb4TmAg crystal. The functional is PBE.

```
Tb4TmAg
1.0
2.713 -10.351 0.000
2.713 10.351 0.000
0.000 0.000 6.405
Tb Tm Ag
8 2 2
Direct
0.036 0.964 0.500
0.178 0.822 0.310
0.245 0.755 0.792
0.435 0.565 0.669
0.565 0.435 0.169
0.755 0.245 0.292
0.822 0.178 0.810
0.964 0.036 0.000
0.365 0.635 0.167
0.635 0.365 0.667
0.104 0.896 0.910
0.896 0.104 0.410
```

Space-group type   No. 36
Magnetization   0.000 μB/cell
Volume   30.0 A^3/atom

Quick one: most stable of them? #one

#one
This record from Alexandria via LeMat-Bulk describes a relaxed Tb3Tm2Ag2 crystal. The functional is PBE.

```
Tb3Tm2Ag2
1.0
2.657 1.534 7.683
-2.657 1.534 7.683
0.000 -3.068 7.683
Tb Tm Ag
3 2 2
Direct
0.000 0.000 0.000
0.162 0.162 0.162
0.838 0.838 0.838
0.425 0.425 0.425
0.575 0.575 0.575
0.289 0.289 0.289
0.711 0.711 0.711
```

Space-group type   No. 166
Magnetization   0.000 μB/cell
Volume   26.9 A^3/atom

#two
This record from Alexandria via LeMat-Bulk describes a relaxed Tb3Tm2Ag2 crystal. The functional is PBE.

```
Tb3Tm2Ag2
1.0
-1.794 1.794 14.783
1.794 -1.794 14.783
1.794 1.794 -14.783
Tb Tm Ag
3 2 2
Direct
0.000 0.000 0.000
0.126 0.126 0.000
0.874 0.874 0.000
0.290 0.290 0.000
0.710 0.710 0.000
0.437 0.437 0.000
0.563 0.563 0.000
```

Space-group type   No. 139
Magnetization   0.002 μB/cell
Volume   27.2 A^3/atom

Quick one: most stable of them? #two

#one
This record from Alexandria via LeMat-Bulk describes a relaxed Tb2YAg2 crystal. The functional is PBE.

```
Tb2YAg2
1.0
3.650 0.000 0.000
0.000 5.258 0.000
-1.823 0.000 13.487
Tb Y Ag
4 2 4
Direct
0.048 0.250 0.095
0.234 0.250 0.468
0.766 0.750 0.532
0.952 0.750 0.905
0.146 0.750 0.291
0.854 0.250 0.709
0.358 0.750 0.716
0.453 0.250 0.905
0.547 0.750 0.095
0.642 0.250 0.284
```

Space-group type   No. 11
Magnetization   0.000 μB/cell
Volume   25.9 A^3/atom

#two
This record from Alexandria via LeMat-Bulk describes a relaxed Tb2YAg2 crystal. The functional is PBE.

```
Tb2YAg2
1.0
5.278 0.000 0.000
0.000 4.880 0.000
-1.230 0.000 11.001
Tb Y Ag
4 2 4
Direct
0.162 0.250 0.112
0.252 0.750 0.507
0.748 0.250 0.493
0.838 0.750 0.888
0.301 0.250 0.759
0.699 0.750 0.241
0.215 0.250 0.365
0.358 0.750 0.991
0.642 0.250 0.009
0.785 0.750 0.635
```

Space-group type   No. 11
Magnetization   0.000 μB/cell
Volume   28.3 A^3/atom

Quick one: most stable of them? #one

#one
This record from Alexandria via LeMat-Bulk describes a relaxed TbYAg4 crystal. The functional is PBE.

```
TbYAg4
1.0
5.018 -1.864 0.000
5.018 1.864 0.000
-2.858 0.000 7.002
Tb Y Ag
1 1 4
Direct
0.000 0.000 0.000
0.000 0.000 0.500
0.330 0.330 0.165
0.330 0.330 0.665
0.670 0.670 0.335
0.670 0.670 0.835
```

Space-group type   No. 12
Magnetization   0.000 μB/cell
Volume   21.8 A^3/atom

#two
This record from Alexandria via LeMat-Bulk describes a relaxed TbYAg4 crystal. The functional is PBE.

```
TbYAg4
1.0
0.000 4.040 4.040
4.040 0.000 4.040
4.040 4.040 0.000
Tb Y Ag
1 1 4
Direct
0.000 0.000 0.000
0.750 0.750 0.750
0.375 0.375 0.375
0.375 0.375 0.875
0.375 0.875 0.375
0.875 0.375 0.375
```

Space-group type   No. 216
Magnetization   0.000 μB/cell
Volume   22.0 A^3/atom

Quick one: most stable of them? #one

#one
This record from Alexandria via LeMat-Bulk describes a relaxed TbYAg crystal. The functional is PBE.

```
TbYAg
1.0
10.045 0.000 0.000
0.000 5.042 0.000
0.000 0.000 6.744
Tb Y Ag
4 4 4
Direct
0.202 0.250 0.140
0.298 0.750 0.640
0.702 0.250 0.360
0.798 0.750 0.860
0.041 0.250 0.657
0.459 0.750 0.157
0.541 0.250 0.843
0.959 0.750 0.343
0.085 0.750 0.933
0.415 0.250 0.433
0.585 0.750 0.567
0.915 0.250 0.067
```

Space-group type   No. 62
Magnetization   1.779 μB/cell
Volume   28.5 A^3/atom

#two
This record from Alexandria via LeMat-Bulk describes a relaxed TbYAg crystal. The functional is PBE.

```
TbYAg
1.0
6.509 -1.885 0.000
6.509 1.885 0.000
-5.013 0.000 6.792
Tb Y Ag
2 2 2
Direct
0.102 0.102 0.379
0.898 0.898 0.621
0.351 0.351 0.942
0.649 0.649 0.058
0.371 0.371 0.319
0.629 0.629 0.681
```

Space-group type   No. 12
Magnetization   0.000 μB/cell
Volume   27.8 A^3/atom

#three
This record from Alexandria via LeMat-Bulk describes a relaxed TbYAg crystal. The functional is PBE.

```
TbYAg
1.0
7.039 0.000 0.000
0.000 5.090 0.000
0.000 0.000 9.126
Tb Y Ag
4 4 4
Direct
0.153 0.250 0.079
0.347 0.750 0.579
0.653 0.250 0.421
0.847 0.750 0.921
0.015 0.250 0.685
0.485 0.750 0.185
0.515 0.250 0.815
0.985 0.750 0.315
0.237 0.250 0.399
0.263 0.750 0.899
0.737 0.250 0.101
0.763 0.750 0.601
```

Space-group type   No. 62
Magnetization   0.000 μB/cell
Volume   27.2 A^3/atom

#four
This record from Alexandria via LeMat-Bulk describes a relaxed TbYAg crystal. The functional is PBE.

```
TbYAg
1.0
5.062 0.000 0.000
-2.531 4.384 0.000
0.000 0.000 3.680
Tb Y Ag
1 1 1
Direct
0.000 0.000 0.000
0.333 0.667 0.543
0.667 0.333 0.271
```

Space-group type   No. 156
Magnetization   0.000 μB/cell
Volume   27.2 A^3/atom

Quick one: most stable of them? #three

#one
This record from Alexandria via LeMat-Bulk describes a relaxed Tb2Y2Ag crystal. The functional is PBE.

```
Tb2Y2Ag
1.0
-1.784 1.784 11.440
1.784 -1.784 11.440
1.784 1.784 -11.440
Tb Y Ag
2 2 1
Direct
0.196 0.196 0.000
0.804 0.804 0.000
0.417 0.417 0.000
0.583 0.583 0.000
0.000 0.000 0.000
```

Space-group type   No. 139
Magnetization   0.000 μB/cell
Volume   29.1 A^3/atom

#two
This record from Alexandria via LeMat-Bulk describes a relaxed Tb2Y2Ag crystal. The functional is PBE.

```
Tb2Y2Ag
1.0
-2.519 2.519 12.316
2.519 -2.519 12.316
2.519 2.519 -12.316
Tb Y Ag
4 4 2
Direct
0.051 0.301 0.750
0.301 0.051 0.250
0.699 0.949 0.750
0.949 0.699 0.250
0.199 0.449 0.750
0.449 0.199 0.250
0.551 0.801 0.750
0.801 0.551 0.250
0.375 0.625 0.750
0.625 0.375 0.250
```

Space-group type   No. 141
Magnetization   3.393 μB/cell
Volume   31.3 A^3/atom

Quick one: most stable of them? #one

#one
This record from Alexandria via LeMat-Bulk describes a relaxed Tb2Zn2Ag3 crystal. The functional is PBE.

```
Tb2Zn2Ag3
1.0
4.994 -2.267 0.000
4.994 2.267 0.000
-2.212 0.000 6.438
Tb Zn Ag
2 2 3
Direct
0.142 0.142 0.269
0.858 0.858 0.731
0.401 0.401 0.080
0.599 0.599 0.920
0.161 0.161 0.744
0.500 0.500 0.500
0.839 0.839 0.256
```

Space-group type   No. 12
Magnetization   0.000 μB/cell
Volume   20.8 A^3/atom

#two
This record from Alexandria via LeMat-Bulk describes a relaxed Tb2Zn2Ag3 crystal. The functional is PBE.

```
Tb2Zn2Ag3
1.0
2.123 -9.710 0.000
2.123 9.710 0.000
0.000 0.000 3.553
Tb Zn Ag
2 2 3
Direct
0.155 0.845 0.000
0.845 0.155 0.000
0.285 0.715 0.500
0.715 0.285 0.500
0.000 0.000 0.000
0.428 0.572 0.500
0.572 0.428 0.500
```

Space-group type   No. 65
Magnetization   0.000 μB/cell
Volume   20.9 A^3/atom

Quick one: most stable of them? #one